Material: Ca2AlHgBi
Method: DFT, GGA-PBE
State: relaxed

Output
Fermi-level density of states ... 5.25 states/eV per cell
Energy of formation from the pure elements ... 0.22 eV/atom
Total DFT energy (no corrections) ... -2.164 eV/atom

Cell and atoms, written as CIF:
```
data_Ca2AlHgBi
_space_group_name_H-M_alt 'P 4/m m m'
_space_group_IT_number 123
_space_group_name_Hall '-P 4 2'
_cell_length_a 5.965
_cell_length_b 5.965
_cell_length_c 5.727
_cell_angle_alpha 90.00
_cell_angle_beta 90.00
_cell_angle_gamma 90.00
loop_
_atom_site_label
_atom_site_type_symbol
_atom_site_fract_x
_atom_site_fract_y
_atom_site_fract_z
Ca1 Ca 0.000 0.500 0.000
Al1 Al 0.000 0.000 0.500
Hg1 Hg 0.500 0.500 0.500
Bi1 Bi 0.500 0.500 0.000
```